Compound: Pm2Ga5Co2
Source: Alexandria
Functional: PBE
Structure: relaxed

abc: 4.5263 4.5263 8.9375
angles: 90.00 90.00 90.00
Atoms (fractional coordinates):
Pm (0.0000, 0.0000, 0.0000)
Pm (0.0000, 0.0000, 0.5000)
Ga (0.5000, 0.0000, 0.2335)
Ga (0.5000, 0.0000, 0.7665)
Ga (0.5000, 0.5000, 0.5000)
Ga (0.0000, 0.5000, 0.2335)
Ga (0.0000, 0.5000, 0.7665)
Co (0.5000, 0.5000, 0.2503)
Co (0.5000, 0.5000, 0.7497)

Properties
Space group ... P4/mmm (123)
Calculated total energy ... -0.1709 hartree per atom
ΔE_f ... -335 meV per atom